[1]
Here is a geometry-optimized NbSnAsW2 structure from Alexandria via LeMat-Bulk. Energies are from GGA-PBE.

Lattice parameters (Å, degrees): 4.6524 4.6524 4.7424 90.00 90.00 90.00
Fractional coordinates of all 5 atoms:
1 Nb 0.0000 0.0000 0.0000
2 Sn 0.5000 0.5000 0.0000
3 As 0.0000 0.0000 0.5000
4 W 0.0000 0.5000 0.5000
5 W 0.5000 0.0000 0.5000

Computed properties:
space group = P4/mmm, No. 123
crystal system = tetragonal
distance to the lowest polymorph of the same formula = 0.000 eV/atom
total energy = -7.80 eV/atom
ρ = 10.58 g/cm³

---

[2]
Here is a geometry-optimized NbSnAsW2 structure from Alexandria via LeMat-Bulk. Energies are from GGA-PBE.

Lattice parameters (Å, degrees): 4.5807 4.5807 5.1603 90.00 90.00 90.00
Fractional coordinates of all 5 atoms:
1 Nb 0.0000 0.0000 0.0000
2 Sn 0.5000 0.5000 0.0000
3 As 0.5000 0.5000 0.5000
4 W 0.0000 0.5000 0.5000
5 W 0.5000 0.0000 0.5000

Computed properties:
space group = P4/mmm, No. 123
crystal system = tetragonal
distance to the lowest polymorph of the same formula = 0.428 eV/atom
total energy = -7.38 eV/atom
ρ = 10.03 g/cm³

---

[3]
Here is a geometry-optimized NbZnSn2As structure from Alexandria via LeMat-Bulk. Energies are from GGA-PBE.

Lattice parameters (Å, degrees): 5.1494 5.1494 4.7522 90.00 90.00 90.00
Fractional coordinates of all 5 atoms:
1 Nb 0.0000 0.0000 0.0000
2 Zn 0.5000 0.5000 0.5000
3 Sn 0.0000 0.5000 0.5000
4 Sn 0.5000 0.0000 0.5000
5 As 0.5000 0.5000 0.0000

Computed properties:
space group = P4/mmm, No. 123
crystal system = tetragonal
total energy = -3.88 eV/atom
ρ = 6.20 g/cm³

---

[4]
Here is a geometry-optimized ZrNbSnAs2 structure from Alexandria via LeMat-Bulk. Energies are from GGA-PBE.

Lattice parameters (Å, degrees): 5.0450 5.0450 5.4503 90.00 90.00 90.00
Fractional coordinates of all 5 atoms:
1 Zr 0.0000 0.0000 0.0000
2 Nb 0.5000 0.5000 0.5000
3 Sn 0.0000 0.0000 0.5000
4 As 0.0000 0.5000 0.0000
5 As 0.5000 0.0000 0.0000

Computed properties:
space group = P4/mmm, No. 123
crystal system = tetragonal
total energy = -5.45 eV/atom
ρ = 5.42 g/cm³

---

| no. | calculated volume (Å³/f.u.) |
| --- | --- |
| 1 | 102.6 |
| 2 | 108.3 |
| 3 | 126.0 |
| 4 | 138.7 |